Record 1
GaCuOsPt after structural relaxation, computed with PBE-GGA.

abc: 6.138 6.138 6.138
angles: 90.00 90.00 90.00
Element x y z (fractional)
Ga 0.000 0.000 0.000
Ga 0.000 0.500 0.500
Ga 0.500 0.000 0.500
Ga 0.500 0.500 0.000
Cu 0.250 0.250 0.250
Cu 0.250 0.750 0.750
Cu 0.750 0.250 0.750
Cu 0.750 0.750 0.250
Os 0.250 0.250 0.750
Os 0.250 0.750 0.250
Os 0.750 0.250 0.250
Os 0.750 0.750 0.750
Pt 0.000 0.000 0.500
Pt 0.000 0.500 0.000
Pt 0.500 0.000 0.000
Pt 0.500 0.500 0.500

## Properties
Raw total energy (eV per cell): -93.58
Space group: F-43m, No. 216
M_tot (μB per formula unit): 0.0

Record 2
SmTcNi after structural relaxation, computed with PBE-GGA.

abc: 6.313 6.313 6.313
angles: 90.00 90.00 90.00
Element x y z (fractional)
Sm 0.000 0.000 0.000
Sm 0.000 0.500 0.500
Sm 0.500 0.000 0.500
Sm 0.500 0.500 0.000
Tc 0.250 0.250 0.250
Tc 0.250 0.750 0.750
Tc 0.750 0.250 0.750
Tc 0.750 0.750 0.250
Ni 0.250 0.250 0.750
Ni 0.250 0.750 0.250
Ni 0.750 0.250 0.250
Ni 0.750 0.750 0.750

## Properties
Raw total energy (eV per cell): -69.13
Space group: F-43m, No. 216
E_form (eV per atom): 1.12
M_tot (μB per formula unit): 2.1

What did we get for excess energy over the best structure of this formula in the dataset? Answer: 0.00, 2.02 eV/f.u., in the order shown.